Below is a geometry-optimized Re2TcSeS structure, with properties calculated at the PBE-GGA level.

Values from the calculation:
**Formation energy from raw total energies**: 1.119 eV per atom
**V**: 17.04 Å³ per atom
**Density of states at the Fermi level**: 5.5 states/eV/cell
**Symmetry**: P4/mmm, No. 123

Cell lengths 4.3996, 4.4027, 4.3996 Å; angles 90.00, 90.00, 90.00 degrees
Fractional coordinates of all 5 atoms:
1 Se 0.5000 0.5000 0.5000
2 Re 0.5000 0.0000 0.0000
3 Re 0.0000 0.0000 0.5000
4 Tc 0.0000 0.5000 0.0000
5 S 0.0000 0.0000 0.0000

---

Below is a geometry-optimized Th4ReSe2S structure, with properties calculated at the PBE-GGA level.

Values from the calculation:
**Formation energy from raw total energies**: -1.205 eV per atom
**V**: 26.34 Å³ per atom
**Density of states at the Fermi level**: 5.8 states/eV/cell
**Symmetry**: P2/m, No. 10

Cell lengths 4.1105, 7.2459, 7.4623 Å; angles 108.55, 90.00, 90.00 degrees
Fractional coordinates of all 8 atoms:
1 Th 0.0000 0.7313 0.2244
2 Th 0.0000 0.2687 0.7756
3 Th 0.5000 0.7531 0.7714
4 Th 0.5000 0.2469 0.2286
5 S 0.0000 0.0000 0.0000
6 Re 0.5000 0.5000 0.0000
7 Se 0.5000 0.0000 0.5000
8 Se 0.0000 0.5000 0.5000

---

Below is a geometry-optimized Th4ReSeS2 structure, with properties calculated at the PBE-GGA level.

Values from the calculation:
**Formation energy from raw total energies**: -1.234 eV per atom
**V**: 25.47 Å³ per atom
**Density of states at the Fermi level**: 5.4 states/eV/cell
**Symmetry**: P2/m, No. 10

Cell lengths 4.0831, 7.3588, 7.1586 Å; angles 108.68, 90.00, 90.00 degrees
Fractional coordinates of all 8 atoms:
1 Th 0.5000 0.7330 0.7440
2 Th 0.0000 0.7328 0.2402
3 Th 0.0000 0.2672 0.7598
4 Th 0.5000 0.2670 0.2560
5 S 0.0000 0.5000 0.5000
6 S 0.5000 0.0000 0.5000
7 Se 0.0000 0.0000 0.0000
8 Re 0.5000 0.5000 0.0000

---

Below is a geometry-optimized ReSiS2 structure, with properties calculated at the PBE-GGA level.

Values from the calculation:
**Formation energy from raw total energies**: 0.252 eV per atom
**V**: 15.67 Å³ per atom
**Density of states at the Fermi level**: 1.7 states/eV/cell
**Symmetry**: R-3m, No. 166

Cell lengths 7.5518, 7.5518, 7.5518 Å; angles 24.01, 24.01, 24.01 degrees
Fractional coordinates of all 4 atoms:
1 S 0.1034 0.1034 0.1034
2 S 0.8966 0.8966 0.8966
3 Re 0.0000 0.0000 0.0000
4 Si 0.5000 0.5000 0.5000

---

Below is a geometry-optimized ReSiS2 structure, with properties calculated at the PBE-GGA level.

Values from the calculation:
**Formation energy from raw total energies**: 0.346 eV per atom
**V**: 18.35 Å³ per atom
**Density of states at the Fermi level**: 3.1 states/eV/cell
**Symmetry**: I-42d, No. 122

Cell lengths 5.2602, 5.2602, 6.4795 Å; angles 66.05, 66.05, 90.00 degrees
Fractional coordinates of all 8 atoms:
1 S 0.6280 0.1250 0.2500
2 S 0.1220 0.6250 0.2500
3 S 0.8750 0.8780 0.7500
4 S 0.3750 0.3720 0.7500
5 Re 0.0000 0.0000 0.0000
6 Re 0.7500 0.2500 0.5000
7 Si 0.5000 0.5000 0.0000
8 Si 0.2500 0.7500 0.5000

---

Below is a geometry-optimized ReSiS structure, with properties calculated at the PBE-GGA level.

Values from the calculation:
**Formation energy from raw total energies**: 0.189 eV per atom
**V**: 20.40 Å³ per atom
**Density of states at the Fermi level**: 2.0 states/eV/cell
**Symmetry**: R-3m, No. 166

Cell lengths 4.1169, 4.1169, 8.6729 Å; angles 76.27, 76.27, 60.00 degrees
Fractional coordinates of all 6 atoms:
1 Re 0.4524 0.4524 0.6427
2 Re 0.5476 0.5476 0.3573
3 Si 0.8710 0.8710 0.3869
4 Si 0.1290 0.1290 0.6131
5 S 0.2665 0.2665 0.2006
6 S 0.7335 0.7335 0.7994

---

Below is a geometry-optimized ReSiS2 structure, with properties calculated at the PBE-GGA level.

Values from the calculation:
**Formation energy from raw total energies**: 0.152 eV per atom
**V**: 17.46 Å³ per atom
**Density of states at the Fermi level**: 2.8 states/eV/cell
**Symmetry**: R-3m, No. 166

Cell lengths 8.6045, 8.6045, 8.6045 Å; angles 20.72, 20.72, 20.72 degrees
Fractional coordinates of all 4 atoms:
1 Si 0.0000 0.0000 0.0000
2 S 0.8980 0.8980 0.8980
3 S 0.1020 0.1020 0.1020
4 Re 0.5000 0.5000 0.5000

---

Below is a geometry-optimized ReSi2WS structure, with properties calculated at the PBE-GGA level.

Values from the calculation:
**Formation energy from raw total energies**: 1.413 eV per atom
**V**: 16.39 Å³ per atom
**Density of states at the Fermi level**: 4.5 states/eV/cell
**Symmetry**: P4/mmm, No. 123

Cell lengths 4.3599, 4.3124, 4.3599 Å; angles 90.00, 90.00, 90.00 degrees
Fractional coordinates of all 5 atoms:
1 Si 0.0000 0.0000 0.5000
2 Si 0.5000 0.0000 0.0000
3 W 0.0000 0.5000 0.0000
4 S 0.0000 0.0000 0.0000
5 Re 0.5000 0.5000 0.5000

---

Below is a geometry-optimized ZnReSiS2 structure, with properties calculated at the PBE-GGA level.

Values from the calculation:
**Formation energy from raw total energies**: 1.485 eV per atom
**V**: 19.29 Å³ per atom
**Density of states at the Fermi level**: 3.8 states/eV/cell
**Symmetry**: P4/mmm, No. 123

Cell lengths 4.5717, 4.6151, 4.5717 Å; angles 90.00, 90.00, 90.00 degrees
Fractional coordinates of all 5 atoms:
1 Re 0.5000 0.5000 0.5000
2 S 0.0000 0.0000 0.5000
3 S 0.5000 0.0000 0.0000
4 Si 0.0000 0.5000 0.0000
5 Zn 0.0000 0.0000 0.0000

---

Below is a geometry-optimized SmReS2 structure, with properties calculated at the PBE-GGA level.

Values from the calculation:
**Formation energy from raw total energies**: -0.201 eV per atom
**V**: 20.18 Å³ per atom
**Density of states at the Fermi level**: 3.2 states/eV/cell
**Symmetry**: R-3m, No. 166

Cell lengths 3.2604, 3.2604, 8.9663 Å; angles 79.52, 79.52, 60.00 degrees
Fractional coordinates of all 4 atoms:
1 S 0.1074 0.1074 0.6779
2 S 0.8926 0.8926 0.3221
3 Sm 0.0000 0.0000 0.0000
4 Re 0.5000 0.5000 0.5000

---

Below is a geometry-optimized Re4SnS7 structure, with properties calculated at the PBE-GGA level.

Values from the calculation:
**Formation energy from raw total energies**: -0.037 eV per atom
**V**: 20.57 Å³ per atom
**Density of states at the Fermi level**: 8.6 states/eV/cell
**Symmetry**: Pmn2_1, No. 31

Cell lengths 5.7741, 6.0024, 14.2444 Å; angles 90.00, 90.00, 90.00 degrees
Fractional coordinates of all 24 atoms:
1 S 0.4818 0.2347 0.3897
2 S 0.9463 0.6099 0.6288
3 S 0.4727 0.8757 0.0000
4 S 0.9818 0.7653 0.1103
5 S 0.4818 0.2347 0.6103
6 S 0.9261 0.2380 0.2053
7 S 0.9261 0.2380 0.7947
8 S 0.4261 0.7620 0.2947
9 S 0.9463 0.6099 0.3712
10 S 0.9818 0.7653 0.8897
11 S 0.4261 0.7620 0.7053
12 S 0.4463 0.3901 0.1288
13 S 0.9727 0.1243 0.5000
14 S 0.4463 0.3901 0.8712
15 Re 0.6075 0.7625 0.1422
16 Re 0.6075 0.7625 0.8578
17 Re 0.1075 0.2375 0.3578
18 Re 0.5553 0.1096 0.7676
19 Re 0.0553 0.8904 0.7324
20 Re 0.0553 0.8904 0.2676
21 Re 0.5553 0.1096 0.2324
22 Re 0.1075 0.2375 0.6422
23 Sn 0.6483 0.7739 0.5000
24 Sn 0.1483 0.2261 0.0000

---

Below is a geometry-optimized Tl2ReSnS structure, with properties calculated at the PBE-GGA level.

Values from the calculation:
**Formation energy from raw total energies**: 0.693 eV per atom
**V**: 29.66 Å³ per atom
**Density of states at the Fermi level**: 6.9 states/eV/cell
**Symmetry**: P4/mmm, No. 123

Cell lengths 5.3639, 5.1545, 5.3639 Å; angles 90.00, 90.00, 90.00 degrees
Fractional coordinates of all 5 atoms:
1 Re 0.0000 0.0000 0.0000
2 Sn 0.0000 0.5000 0.0000
3 Tl 0.0000 0.0000 0.5000
4 Tl 0.5000 0.0000 0.0000
5 S 0.5000 0.5000 0.5000